1.
The following is a DFT calculation (GGA-PBE) of a relaxed structure of CaFe.

Calculated values
Density of states at the Fermi level, states/eV/f.u.: 0.93
Electronic total energy, eV/atom: -4.4654
Formation energy from the elements, eV per atom: 0.7667

a b c (Å): 8.588 8.588 8.588
angles (deg): 90.00 90.00 90.00
Space group I-43m (No. 217)
Inequivalent atoms, fractional coordinates:
Ca1 0.210 0.210 0.210 (multiplicity 8)
Fe1 0.094 0.094 0.906 (multiplicity 8)

=====

2.
The following is a DFT calculation (GGA-PBE) of a relaxed structure of Ca3Fe4.

Calculated values
Density of states at the Fermi level, states/eV/f.u.: 15.47
Electronic total energy, eV/atom: -4.6149
Formation energy from the elements, eV per atom: 1.0787

a b c (Å): 6.2591 6.2591 4.6234
angles (deg): 90.00 90.00 120.00
Space group P6/mmm (No. 191)
Inequivalent atoms, fractional coordinates:
Ca1 0.0000 0.5000 0.0000 (multiplicity 3)
Fe1 0.0000 0.0000 0.2438 (multiplicity 2)
Fe2 0.3333 0.6667 0.5000 (multiplicity 2)

=====

3.
The following is a DFT calculation (GGA-PBE) of a relaxed structure of CaFe.

Calculated values
Density of states at the Fermi level, states/eV/f.u.: 5.47
Electronic total energy, eV/atom: -4.1906
Formation energy from the elements, eV per atom: 1.0416

a b c (Å): 5.933 5.933 5.933
angles (deg): 90.00 90.00 90.00
Space group Fm-3m (No. 225)
Inequivalent atoms, fractional coordinates:
Ca1 0.000 0.000 0.000 (multiplicity 4)
Fe1 0.000 0.000 0.500 (multiplicity 4)

=====

4.
The following is a DFT calculation (GGA-PBE) of a relaxed structure of CaFe3.

Calculated values
Density of states at the Fermi level, states/eV/f.u.: 3.29
Electronic total energy, eV/atom: -6.2717
Formation energy from the elements, eV per atom: 0.5757

a b c (Å): 6.243 6.243 6.243
angles (deg): 90.00 90.00 90.00
Space group Fm-3m (No. 225)
Inequivalent atoms, fractional coordinates:
Ca1 0.000 0.000 0.000 (multiplicity 4)
Fe1 0.000 0.000 0.500 (multiplicity 4)
Fe2 0.250 0.250 0.250 (multiplicity 8)

=====

5.
The following is a DFT calculation (GGA-PBE) of a relaxed structure of CaFe.

Calculated values
Density of states at the Fermi level, states/eV/f.u.: 1.95
Electronic total energy, eV/atom: -4.4025
Formation energy from the elements, eV per atom: 0.8297

a b c (Å): 3.2648 3.2648 4.7545
angles (deg): 90.00 90.00 120.00
Space group P-6m2 (No. 187)
Inequivalent atoms, fractional coordinates:
Ca1 0.0000 0.0000 0.0000 (multiplicity 1)
Fe1 0.6667 0.3333 0.5000 (multiplicity 1)

=====

6.
The following is a DFT calculation (GGA-PBE) of a relaxed structure of Ca2Fe.

Calculated values
Density of states at the Fermi level, states/eV/f.u.: 5.47
Electronic total energy, eV/atom: -3.0517
Formation energy from the elements, eV per atom: 1.1036

a b c (Å): 6.4953 6.4953 10.2762
angles (deg): 90.00 90.00 120.00
Space group P6_3/mmc (No. 194)
Inequivalent atoms, fractional coordinates:
Ca1 0.0000 0.0000 0.0000 (multiplicity 2)
Ca2 0.1770 0.3541 0.2500 (multiplicity 6)
Fe1 0.3333 0.6667 0.5124 (multiplicity 4)

=====

7.
The following is a DFT calculation (GGA-PBE) of a relaxed structure of Ca5Fe.

Calculated values
Density of states at the Fermi level, states/eV/f.u.: 10.26
Electronic total energy, eV/atom: -2.7478
Offset from the most stable computed form, meV/atom: 0
Formation energy from the elements, eV per atom: 0.3306

a b c (Å): 5.022 15.103 5.414
angles (deg): 90.00 90.00 90.00
Space group Cmmm (No. 65)
Inequivalent atoms, fractional coordinates:
Ca1 0.000 0.000 0.000 (multiplicity 2)
Ca2 0.000 0.147 0.500 (multiplicity 4)
Ca3 0.000 0.342 0.000 (multiplicity 4)
Fe1 0.000 0.500 0.500 (multiplicity 2)

=====

8.
The following is a DFT calculation (GGA-PBE) of a relaxed structure of CaFe.

Calculated values
Density of states at the Fermi level, states/eV/f.u.: 2.41
Electronic total energy, eV/atom: -3.5562
Formation energy from the elements, eV per atom: 1.6759

a b c (Å): 6.492 6.492 6.492
angles (deg): 90.00 90.00 90.00
Space group F-43m (No. 216)
Inequivalent atoms, fractional coordinates:
Ca1 0.000 0.000 0.000 (multiplicity 4)
Fe1 0.250 0.250 0.250 (multiplicity 4)

=====

9.
The following is a DFT calculation (GGA-PBE) of a relaxed structure of CaFe3.

Calculated values
Density of states at the Fermi level, states/eV/f.u.: 3.96
Electronic total energy, eV/atom: -6.3884
Formation energy from the elements, eV per atom: 0.4590

a b c (Å): 2.871 4.083 5.820
angles (deg): 90.00 90.00 90.00
Space group Pmm2 (No. 25)
Inequivalent atoms, fractional coordinates:
Ca1 0.000 0.000 0.000 (multiplicity 1)
Fe1 0.000 0.500 0.383 (multiplicity 1)
Fe2 0.500 0.000 0.484 (multiplicity 1)
Fe3 0.500 0.500 0.705 (multiplicity 1)

=====

10.
The following is a DFT calculation (GGA-PBE) of a relaxed structure of CaFe.

Calculated values
Density of states at the Fermi level, states/eV/f.u.: 2.05
Electronic total energy, eV/atom: -4.7243
Formation energy from the elements, eV per atom: 0.5078

a b c (Å): 5.646 8.936 14.081
angles (deg): 90.00 90.00 90.00
Space group Fddd (No. 70, origin choice 2)
Inequivalent atoms, fractional coordinates:
Ca1 0.125 0.295 0.125 (multiplicity 16)
Fe1 0.125 0.125 0.549 (multiplicity 16)

=====

11.
The following is a DFT calculation (GGA-PBE) of a relaxed structure of CaFe.

Calculated values
Density of states at the Fermi level, states/eV/f.u.: 2.83
Electronic total energy, eV/atom: -4.6341
Formation energy from the elements, eV per atom: 0.5981

a b c (Å): 3.510 17.412 4.731
angles (deg): 90.00 90.00 90.00
Space group Cmmm (No. 65)
Inequivalent atoms, fractional coordinates:
Ca1 0.000 0.000 0.000 (multiplicity 2)
Ca2 0.000 0.337 0.500 (multiplicity 4)
Fe1 0.000 0.209 0.000 (multiplicity 4)
Fe2 0.000 0.500 0.500 (multiplicity 2)

=====

12.
The following is a DFT calculation (GGA-PBE) of a relaxed structure of CaFe4.

Calculated values
Density of states at the Fermi level, states/eV/f.u.: 8.35
Electronic total energy, eV/atom: -5.3657
Formation energy from the elements, eV per atom: 1.8048

a b c (Å): 5.710 5.710 5.710
angles (deg): 90.00 90.00 90.00
Space group Im-3m (No. 229)
Inequivalent atoms, fractional coordinates:
Ca1 0.000 0.000 0.000 (multiplicity 2)
Fe1 0.250 0.250 0.250 (multiplicity 8)

=====

Question: density of states at the Fermi level of number 11 (CaFe)?
Answer: 2.83 states/eV/f.u.

=====

Question: Among the records above, which one has the highest formation energy from the elements?
Answer: CaFe4